# 1
La2Tl2W | PBE | relaxed

Results
The value obtained for the volume is 309 Å³ per cell. The space group is P4/mbm (127). As for the density of states at the Fermi level: 1.51 states/eV/atom. The formation energy comes out at 0.6002 eV per atom.

Cell: 7.656 7.656 5.276 Å, 90.00 90.00 90.00°
Each line ends with the local moment (μB).
Fractional positions:
La1 0.667 0.167 0.000  0.03
La2 0.833 0.667 0.000  0.02
La3 0.167 0.333 0.000  0.02
Tl1 0.651 0.849 0.500  0.00
La4 0.333 0.833 0.000  0.03
Tl2 0.151 0.651 0.500  0.00
W1 0.000 0.000 0.000  0.86
Tl3 0.349 0.151 0.500  0.00
Tl4 0.849 0.349 0.500  0.00
W2 0.500 0.500 0.000  0.86

***

# 2
Sr3SnN | PBE | relaxed

Results
The value obtained for the volume is 413 Å³ per cell. The space group is R-3c (167). As for the density of states at the Fermi level: 0.92 states/eV/atom. The energy relative to the elements, uncorrected comes out at -122.9 kJ/mol of formula units.

Cell: 9.027 9.027 9.027 Å, 51.26 51.26 51.26°
Each line ends with the local moment (μB).
Fractional positions:
N1 0.750 0.750 0.750  0.14
Sr1 0.250 0.954 0.546  0.03
Sr2 0.954 0.546 0.250  0.02
Sr3 0.750 0.046 0.454  0.03
Sr4 0.454 0.750 0.046  0.02
Sn1 0.000 0.000 0.000  0.28
N2 0.250 0.250 0.250  0.14
Sr5 0.046 0.454 0.750  0.02
Sr6 0.546 0.250 0.954  0.02
Sn2 0.500 0.500 0.500  0.27

***

# 3
Sr2Zn9Pt6 | PBE | relaxed

Results
The value obtained for the volume is 334 Å³ per cell. The space group is P6/mmm (191). As for the density of states at the Fermi level: 0.44 states/eV/atom. The formation energy comes out at -0.4909 eV per atom.

Cell: 5.640 5.640 12.125 Å, 90.00 90.00 120.00°
Fractional positions:
Zn1 0.500 0.500 0.162
Zn2 0.500 0.000 0.500
Zn3 0.000 0.500 0.162
Pt1 0.667 0.333 0.670
Sr1 0.000 0.000 0.323
Zn4 0.500 0.500 0.500
Pt2 0.667 0.333 0.330
Sr2 0.000 0.000 0.677
Pt3 0.667 0.333 0.000
Pt4 0.333 0.667 0.670
Pt5 0.333 0.667 0.000
Zn5 0.000 0.500 0.500
Zn6 0.500 0.000 0.162
Zn7 0.500 0.500 0.838
Zn8 0.500 0.000 0.838
Pt6 0.333 0.667 0.330
Zn9 0.000 0.500 0.838